Compound: La5Ti2AgS5O7
Source: the Alexandria database
Functional: GGA-PBE
Structure: optimized geometry

a b c (Å): 3.979 18.530 19.665
angles (deg): 90.00 90.00 90.00
Element x y z (fractional)
1 La 0.750 0.215 0.190
2 La 0.250 0.998 0.394
3 La 0.750 0.029 0.818
4 La 0.750 0.471 0.318
5 La 0.750 0.002 0.606
6 La 0.750 0.285 0.690
7 La 0.250 0.304 0.040
8 La 0.250 0.785 0.810
9 La 0.750 0.498 0.106
10 La 0.250 0.971 0.182
11 La 0.750 0.377 0.512
12 La 0.750 0.123 0.012
13 La 0.250 0.715 0.310
14 La 0.250 0.502 0.894
15 La 0.250 0.877 0.988
16 La 0.750 0.696 0.960
17 La 0.250 0.196 0.540
18 La 0.250 0.529 0.682
19 La 0.250 0.623 0.488
20 La 0.750 0.804 0.460
21 Ti 0.250 0.332 0.378
22 Ti 0.750 0.668 0.622
23 Ti 0.750 0.887 0.304
24 Ti 0.250 0.387 0.196
25 Ti 0.750 0.613 0.804
26 Ti 0.250 0.113 0.696
27 Ti 0.750 0.832 0.122
28 Ti 0.250 0.168 0.878
29 Ag 0.250 0.652 0.139
30 Ag 0.750 0.152 0.361
31 Ag 0.750 0.348 0.861
32 Ag 0.250 0.848 0.639
33 S 0.250 0.540 0.220
34 S 0.250 0.278 0.816
35 S 0.750 0.620 0.371
36 S 0.750 0.722 0.184
37 S 0.250 0.033 0.933
38 S 0.250 0.380 0.629
39 S 0.250 0.120 0.129
40 S 0.750 0.778 0.684
41 S 0.750 0.880 0.871
42 S 0.250 0.590 0.026
43 S 0.750 0.410 0.974
44 S 0.750 0.460 0.780
45 S 0.750 0.090 0.474
46 S 0.250 0.222 0.316
47 S 0.250 0.910 0.526
48 S 0.750 0.967 0.067
49 S 0.750 0.040 0.280
50 S 0.250 0.960 0.720
51 S 0.250 0.467 0.433
52 S 0.750 0.533 0.567
53 O 0.750 0.254 0.571
54 O 0.750 0.708 0.829
55 O 0.250 0.194 0.970
56 O 0.750 0.402 0.200
57 O 0.250 0.902 0.300
58 O 0.750 0.098 0.700
59 O 0.750 0.153 0.881
60 O 0.250 0.598 0.800
61 O 0.750 0.347 0.381
62 O 0.250 0.292 0.171
63 O 0.250 0.395 0.295
64 O 0.750 0.806 0.030
65 O 0.250 0.077 0.606
66 O 0.250 0.423 0.106
67 O 0.250 0.746 0.429
68 O 0.250 0.754 0.929
69 O 0.250 0.105 0.795
70 O 0.750 0.246 0.071
71 O 0.250 0.653 0.619
72 O 0.750 0.694 0.530
73 O 0.750 0.577 0.894
74 O 0.750 0.605 0.705
75 O 0.250 0.208 0.671
76 O 0.750 0.895 0.205
77 O 0.250 0.847 0.119
78 O 0.750 0.792 0.329
79 O 0.750 0.923 0.394
80 O 0.250 0.306 0.470

## Properties
**Energy**: -610.14 eV per cell
**Size of the total moment**: 0.0 μB/cell